Entry 1:
{"formula": "Cr2ReOs2", "functional": "PBE-GGA", "state": "optimized geometry", "lattice_angstrom": [[-1.8428, 1.8428, 5.5261], [1.8428, -1.8428, 5.5261], [1.8428, 1.8428, -5.5261]], "species": ["Cr", "Cr", "Re", "Os", "Os"], "frac_coords": [[0.2500, 0.7500, 0.5000], [0.7500, 0.2500, 0.5000], [0.0000, 0.0000, 0.0000], [0.3900, 0.3900, 0.0000], [0.6100, 0.6100, 0.0000]], "formation_energy_ev_per_atom": 0.7473, "relative_energy_ev_per_atom": 0.479}

=====

Entry 2:
{"formula": "KEuTiO4", "functional": "PBE-GGA", "state": "optimized geometry", "lattice_angstrom": [[13.3084, 0.0000, 0.0000], [0.0000, 5.5096, 0.0000], [0.0000, 0.0000, 5.4406]], "species": ["K", "K", "K", "K", "Eu", "Eu", "Eu", "Eu", "Ti", "Ti", "Ti", "Ti", "O", "O", "O", "O", "O", "O", "O", "O", "O", "O", "O", "O", "O", "O", "O", "O"], "frac_coords": [[0.0954, 0.0141, 0.2500], [0.0954, 0.4859, 0.7500], [0.9046, 0.5141, 0.2500], [0.9046, 0.9859, 0.7500], [0.3972, 0.0227, 0.2500], [0.3972, 0.4773, 0.7500], [0.6028, 0.5227, 0.2500], [0.6028, 0.9773, 0.7500], [0.2497, 0.5067, 0.2500], [0.2497, 0.9933, 0.7500], [0.7503, 0.0067, 0.2500], [0.7503, 0.4933, 0.7500], [0.1174, 0.5225, 0.2500], [0.1174, 0.9775, 0.7500], [0.2706, 0.2500, 0.0000], [0.2706, 0.2500, 0.5000], [0.2890, 0.7500, 0.0000], [0.2890, 0.7500, 0.5000], [0.4354, 0.0565, 0.7500], [0.4354, 0.4435, 0.2500], [0.5646, 0.5565, 0.7500], [0.5646, 0.9435, 0.2500], [0.7110, 0.2500, 0.0000], [0.7110, 0.2500, 0.5000], [0.7294, 0.7500, 0.0000], [0.7294, 0.7500, 0.5000], [0.8826, 0.0225, 0.2500], [0.8826, 0.4775, 0.7500]], "e_form_raw_ev_per_fu": -18.90}

=====

Entry 3:
{"formula": "Ac3Bi2Pd9Au", "functional": "PBE-GGA", "state": "optimized geometry", "lattice_angstrom": [[6.7593, 0.0000, 0.0000], [-3.3796, 5.8537, 0.0000], [0.0000, 0.0000, 10.2506]], "species": ["Ac", "Ac", "Ac", "Bi", "Bi", "Pd", "Pd", "Pd", "Pd", "Pd", "Pd", "Pd", "Pd", "Pd", "Au"], "frac_coords": [[0.0000, 0.0000, 0.0000], [0.3333, 0.6667, 0.7418], [0.6667, 0.3333, 0.2582], [0.3333, 0.6667, 0.1831], [0.6667, 0.3333, 0.8169], [0.0000, 0.5000, 0.0000], [0.1309, 0.2619, 0.2807], [0.1309, 0.8691, 0.2807], [0.2619, 0.1309, 0.7193], [0.5000, 0.0000, 0.0000], [0.5000, 0.5000, 0.0000], [0.7382, 0.8691, 0.2807], [0.8691, 0.1309, 0.7193], [0.8691, 0.7382, 0.7193], [0.0000, 0.0000, 0.5000]], "formation_energy_ev_per_atom": -0.4061}

=====

Entry 4:
{"formula": "NaDyTlCd", "functional": "PBE-GGA", "state": "optimized geometry", "lattice_angstrom": [[3.7568, 0.0000, 0.0000], [0.0000, 3.7568, 0.0000], [0.0000, 0.0000, 7.5795]], "species": ["Na", "Dy", "Tl", "Cd"], "frac_coords": [[0.0000, 0.0000, 0.0000], [0.0000, 0.0000, 0.5070], [0.5000, 0.5000, 0.2532], [0.5000, 0.5000, 0.7520]], "formation_energy_ev_per_atom": -0.1858, "relative_energy_ev_per_atom": 0.012}

=====

Entry 5:
{"formula": "Ag3GeIr", "functional": "PBE-GGA", "state": "optimized geometry", "lattice_angstrom": [[4.7198, 0.0000, 0.0000], [0.0000, 4.7198, 0.0000], [0.0000, 0.0000, 4.7198]], "species": ["Ag", "Ag", "Ag", "Ge", "Ir"], "frac_coords": [[0.0000, 0.0000, 0.5000], [0.0000, 0.5000, 0.0000], [0.5000, 0.0000, 0.0000], [0.0000, 0.0000, 0.0000], [0.5000, 0.5000, 0.5000]], "formation_energy_ev_per_atom": 1.1756, "relative_energy_ev_per_atom": 0.000}

=====

Entry 6:
{"formula": "PrPuSO2", "functional": "PBE-GGA", "state": "optimized geometry", "lattice_angstrom": [[-1.9363, 1.9363, 6.1617], [1.9363, -1.9363, 6.1617], [1.9363, 1.9363, -6.1617]], "species": ["Pr", "Pu", "S", "O", "O"], "frac_coords": [[0.0000, 0.0000, 0.0000], [0.7064, 0.7064, 0.0000], [0.3574, 0.3574, 0.0000], [0.1085, 0.6085, 0.5000], [0.6085, 0.1085, 0.5000]], "e_form_raw_ev_per_fu": -13.48}

=====

Entry 7:
{"formula": "Ho2Ga3Rh", "functional": "PBE-GGA", "state": "optimized geometry", "lattice_angstrom": [[5.1698, -2.1556, 0.0000], [5.1698, 2.1556, 0.0000], [-4.6105, 0.0000, 5.3034]], "species": ["Ho", "Ho", "Ga", "Ga", "Ga", "Rh"], "frac_coords": [[0.0000, 0.0000, 0.0000], [0.0952, 0.0952, 0.6050], [0.3825, 0.3825, 0.2110], [0.7046, 0.7046, 0.0041], [0.7150, 0.7150, 0.4147], [0.3873, 0.3873, 0.6081]], "formation_energy_ev_per_atom": -0.7607}

=====

Entry 8:
{"formula": "Be2TcHIr", "functional": "PBE-GGA", "state": "optimized geometry", "lattice_angstrom": [[3.8840, 0.0000, 0.0000], [0.0000, 3.8840, 0.0000], [0.0000, 0.0000, 3.2524]], "species": ["Be", "Be", "Tc", "H", "Ir"], "frac_coords": [[0.0000, 0.5000, 0.0000], [0.5000, 0.0000, 0.0000], [0.0000, 0.0000, 0.5000], [0.0000, 0.0000, 0.0000], [0.5000, 0.5000, 0.5000]], "final_energy_ev_per_atom": -6.001}

=====

Entry 9:
{"formula": "NaMgPd3", "functional": "PBE-GGA", "state": "optimized geometry", "lattice_angstrom": [[4.6510, 0.0000, 0.0000], [0.0000, 4.6510, 0.0000], [0.0000, 0.0000, 4.6510]], "species": ["Na", "Mg", "Pd", "Pd", "Pd"], "frac_coords": [[0.0000, 0.0000, 0.0000], [0.5000, 0.5000, 0.5000], [0.0000, 0.0000, 0.5000], [0.0000, 0.5000, 0.0000], [0.5000, 0.0000, 0.0000]], "formation_energy_ev_per_atom": 0.5765, "relative_energy_ev_per_atom": 0.365}

=====

Entry 10:
{"formula": "La4Nd4Tm3", "functional": "PBE-GGA", "state": "optimized geometry", "lattice_angstrom": [[3.5740, 0.0000, 0.0000], [0.0004, 5.7977, 0.0000], [1.7838, 2.8922, 18.1556]], "species": ["La", "La", "La", "La", "Nd", "Nd", "Nd", "Nd", "Tm", "Tm", "Tm"], "frac_coords": [[0.0929, 0.0917, 0.3145], [0.2286, 0.7282, 0.0432], [0.7714, 0.2718, 0.9568], [0.9071, 0.9083, 0.6855], [0.0444, 0.5435, 0.4112], [0.1828, 0.1822, 0.1352], [0.8172, 0.8178, 0.8648], [0.9556, 0.4565, 0.5888], [0.3639, 0.3653, 0.7711], [0.5000, 0.0000, 0.5000], [0.6361, 0.6347, 0.2289]], "formation_energy_ev_per_atom": 0.0567}

=====

Entry 11:
{"formula": "CsLiFe3", "functional": "PBE-GGA", "state": "optimized geometry", "lattice_angstrom": [[4.8772, 0.0000, 0.0000], [0.0000, 4.8772, 0.0000], [0.0000, 0.0000, 4.8772]], "species": ["Cs", "Li", "Fe", "Fe", "Fe"], "frac_coords": [[0.0000, 0.0000, 0.0000], [0.5000, 0.5000, 0.5000], [0.0000, 0.0000, 0.5000], [0.0000, 0.5000, 0.0000], [0.5000, 0.0000, 0.0000]], "formation_energy_ev_per_atom": 2.3801, "relative_energy_ev_per_atom": 0.850}

=====

Entry 12:
{"formula": "CdTcP2", "functional": "PBE-GGA", "state": "optimized geometry", "lattice_angstrom": [[4.4684, 0.0000, 0.0000], [0.0000, 1.6635, 4.4388], [0.0000, -1.6635, 4.4388]], "species": ["Cd", "Tc", "P", "P"], "frac_coords": [[0.0000, 0.0000, 0.0000], [0.5000, 0.3850, 0.3850], [0.0000, 0.2739, 0.2739], [0.5000, 0.6821, 0.6821]], "formation_energy_ev_per_atom": 0.1356}

=====

- Number 3 is which compound?
  Ac3Bi2Pd9Au